Record 1
# Y2OsCl | Alexandria via LeMat-Bulk | PBE | optimized geometry
data_Y2OsCl
_chemical_formula_sum 'Y4 Os2 Cl2'
_symmetry_space_group_name_H-M 'I m m m'
_symmetry_Int_Tables_number 71
_symmetry_space_group_name_Hall '-I 2 2'
_cell_length_a 4.5562
_cell_length_b 5.4431
_cell_length_c 7.0146
_cell_angle_alpha 90.00
_cell_angle_beta 90.00
_cell_angle_gamma 90.00
loop_
_atom_site_label
_atom_site_type_symbol
_atom_site_fract_x
_atom_site_fract_y
_atom_site_fract_z
Y1 Y 0.0000 0.0000 0.2472
Os1 Os 0.0000 0.5000 0.5000
Cl1 Cl 0.0000 0.5000 0.0000
# Distance to the lowest polymorph of the same formula ... 49.59 kJ/mol of atoms
# Total DFT energy (no corrections) ... -0.25237 Ha/atom

Record 2
# Sm8P3Se3N | Alexandria via LeMat-Bulk | PBE | optimized geometry
data_Sm8P3Se3N
_chemical_formula_sum 'Sm24 P9 Se9 N3'
_symmetry_space_group_name_H-M 'R -3 m'
_symmetry_Int_Tables_number 166
_symmetry_space_group_name_Hall '-R 3 2"'
_cell_length_a 8.0805
_cell_length_b 8.0805
_cell_length_c 20.4801
_cell_angle_alpha 90.00
_cell_angle_beta 90.00
_cell_angle_gamma 120.00
loop_
_atom_site_label
_atom_site_type_symbol
_atom_site_fract_x
_atom_site_fract_y
_atom_site_fract_z
Sm1 Sm 0.0000 0.0000 0.2428
Sm2 Sm 0.0284 0.5142 0.2373
P1 P 0.0000 0.5000 0.5000
Se1 Se 0.0000 0.5000 0.0000
N1 N 0.0000 0.0000 0.5000
# Total DFT energy (no corrections) ... -0.23542 Ha/atom

Number 1: formation energy without anion corrections -366 meV per atom. Number 2: formation energy without anion corrections -1555 meV per atom.